This record from the Alexandria database describes an optimized crystal structure of SbSe2Br. The functional is PBE.

Output
excess energy over the best structure of this formula in the dataset: 0.438 eV/atom
calculated density: 5.63 g/cm³
density of states at the Fermi level: 4.39 states/eV/f.u.
raw total energy: -23.866 eV for the cell shown
formation energy without anion corrections: 0.208 eV/atom

Cell: 5.9322 8.4585 5.1414 Å, 90.00 124.63 90.00°
Space group C2/m (No. 12)
Symmetry-distinct sites (fractional):
Sb1 0.0000 0.0000 0.0000 x2
Se1 0.2500 0.2500 0.5000 x4
Br1 0.0000 0.5000 0.0000 x2